# 1
CrWBr2: optimized geometry, PBE.

Lattice parameters (Å, degrees): 6.8235 6.8235 6.8235 126.79 126.79 78.59
Fractional coordinates of all 8 atoms:
Cr (0.0000, 0.0000, 0.0000)
Cr (0.7500, 0.2500, 0.5000)
W (0.2500, 0.7500, 0.5000)
W (0.5000, 0.5000, 0.0000)
Br (0.1255, 0.6250, 0.0005)
Br (0.3750, 0.3755, 0.5005)
Br (0.6245, 0.1250, 0.9995)
Br (0.8750, 0.8745, 0.4995)

Calculated values
Its space-group type is I-42d, No. 122. The total energy comes out at -5.2367 eV per atom. The energy above the most stable polymorph in this dataset comes out at 1.0758 eV per atom. For the total magnetization, the calculation gives 2.55 μB per formula unit.

***

# 2
Zr4TlAg: optimized geometry, PBE.

Lattice parameters (Å, degrees): 6.4308 6.4308 4.7705 90.00 90.00 136.47
Fractional coordinates of all 6 atoms:
Zr (0.1645, 0.8355, 0.0000)
Zr (0.3351, 0.6649, 0.5000)
Zr (0.6649, 0.3351, 0.5000)
Zr (0.8355, 0.1645, 0.0000)
Tl (0.5000, 0.5000, 0.0000)
Ag (0.0000, 0.0000, 0.5000)

Calculated values
Its space-group type is Cmmm, No. 65. The total energy comes out at -6.6290 eV per atom. The energy above the most stable polymorph in this dataset comes out at 0.0000 eV per atom. For the total magnetization, the calculation gives 0.00 μB per formula unit. The energy of formation comes out at -61 meV/atom.

***

# 3
Be17VOs: optimized geometry, PBE.

Lattice parameters (Å, degrees): 5.4524 5.4524 5.4524 82.91 82.91 82.91
Fractional coordinates of all 19 atoms:
Be (0.9996, 0.5002, 0.5002)
Be (0.0513, 0.0513, 0.0513)
Be (0.1459, 0.1459, 0.6568)
Be (0.1459, 0.6568, 0.1459)
Be (0.1536, 0.4537, 0.8460)
Be (0.1536, 0.8460, 0.4537)
Be (0.2542, 0.2542, 0.2542)
Be (0.3187, 0.7993, 0.7994)
Be (0.4537, 0.1536, 0.8460)
Be (0.4537, 0.8460, 0.1536)
Be (0.5002, 0.9996, 0.5002)
Be (0.5002, 0.5002, 0.9996)
Be (0.6568, 0.1459, 0.1459)
Be (0.7994, 0.3187, 0.7994)
Be (0.7994, 0.7994, 0.3187)
Be (0.8460, 0.1536, 0.4537)
Be (0.8460, 0.4537, 0.1536)
V (0.8123, 0.8123, 0.8123)
Os (0.4864, 0.4864, 0.4864)

Calculated values
Its space-group type is R3m, No. 160. The total energy comes out at -4.5481 eV per atom. For the total magnetization, the calculation gives 0.00 μB per formula unit. The energy of formation comes out at -143 meV/atom.

***

- What is the total magnetization in the third record?
  0.00 μB per formula unit